Entry from Alexandria: LaThCo after structural relaxation (PBE).

Cell and atoms, written as CIF:
```
data_LaThCo
_chemical_formula_sum 'La4 Th4 Co4'
_cell_length_a 6.823
_cell_length_b 6.683
_cell_length_c 9.118
_cell_angle_alpha 90.00
_cell_angle_beta 125.29
_cell_angle_gamma 90.00
_space_group_name_H-M_alt 'P 1 21/c 1'
_space_group_IT_number 14
loop_
_space_group_symop_operation_xyz
'x,y,z'
'-x,-y,-z'
'-x,y+1/2,-z+1/2'
'x,-y+1/2,z+1/2'
loop_
_atom_site_label
_atom_site_fract_x
_atom_site_fract_y
_atom_site_fract_z
La1 0.182 0.076 0.408
Th1 0.348 0.578 0.597
Co1 0.325 0.703 0.317
```

Values from the calculation:
energy of formation from the pure elements = -0.4 eV per formula unit
E_tot = -6.61 eV/atom
relative energy among the computed polymorphs = 12 meV per atom

***

Entry from Alexandria: Ca2NdAg4 after structural relaxation (PBE).

Cell and atoms, written as CIF:
```
data_Ca2NdAg4
_chemical_formula_sum 'Ca4 Nd2 Ag8'
_cell_length_a 5.765
_cell_length_b 5.765
_cell_length_c 11.241
_cell_angle_alpha 90.00
_cell_angle_beta 90.00
_cell_angle_gamma 90.00
_space_group_name_H-M_alt 'I 4/m m m'
_space_group_IT_number 139
_space_group_name_Hall '-I 4 2'
loop_
_atom_site_label
_atom_site_fract_x
_atom_site_fract_y
_atom_site_fract_z
Ca1 0.000 0.000 0.184
Nd1 0.000 0.000 0.500
Ag1 0.000 0.500 0.125
```

Values from the calculation:
energy of formation from the pure elements = -0.9 eV per formula unit
E_tot = -3.01 eV/atom

***

Entry from Alexandria: Ac2SmAu3 after structural relaxation (PBE).

Cell and atoms, written as CIF:
```
data_Ac2SmAu3
_chemical_formula_sum 'Ac2 Sm1 Au3'
_cell_length_a 3.824
_cell_length_b 3.824
_cell_length_c 11.527
_cell_angle_alpha 90.00
_cell_angle_beta 90.00
_cell_angle_gamma 90.00
_space_group_name_H-M_alt 'P 4/m m m'
_space_group_IT_number 123
_space_group_name_Hall '-P 4 2'
loop_
_atom_site_label
_atom_site_fract_x
_atom_site_fract_y
_atom_site_fract_z
Ac1 0.000 0.000 0.173
Sm1 0.000 0.000 0.500
Au1 0.500 0.500 0.000
Au2 0.500 0.500 0.355
```

Values from the calculation:
energy of formation from the pure elements = -4.6 eV per formula unit
E_tot = -4.57 eV/atom

***

Entry from Alexandria: Tb4HoBi2 after structural relaxation (PBE).

Cell and atoms, written as CIF:
```
data_Tb4HoBi2
_chemical_formula_sum 'Tb8 Ho2 Bi4'
_cell_length_a 5.330
_cell_length_b 5.330
_cell_length_c 16.799
_cell_angle_alpha 90.00
_cell_angle_beta 90.00
_cell_angle_gamma 90.00
_space_group_name_H-M_alt 'I 4/m m m'
_space_group_IT_number 139
_space_group_name_Hall '-I 4 2'
loop_
_atom_site_label
_atom_site_fract_x
_atom_site_fract_y
_atom_site_fract_z
Tb1 0.000 0.000 0.181
Tb2 0.000 0.500 0.000
Ho1 0.000 0.000 0.000
Bi1 0.000 0.000 0.365
```

Values from the calculation:
energy of formation from the pure elements = 1.9 eV per formula unit
E_tot = -4.14 eV/atom

***

Entry from Alexandria: CsRb2Bi2 after structural relaxation (PBE).

Cell and atoms, written as CIF:
```
data_CsRb2Bi2
_chemical_formula_sum 'Cs2 Rb4 Bi4'
_cell_length_a 6.135
_cell_length_b 6.135
_cell_length_c 13.937
_cell_angle_alpha 90.00
_cell_angle_beta 90.00
_cell_angle_gamma 90.00
_space_group_name_H-M_alt 'I 4/m m m'
_space_group_IT_number 139
_space_group_name_Hall '-I 4 2'
loop_
_atom_site_label
_atom_site_fract_x
_atom_site_fract_y
_atom_site_fract_z
Cs1 0.000 0.000 0.000
Rb1 0.000 0.000 0.376
Bi1 0.000 0.500 0.250
```

Values from the calculation:
energy of formation from the pure elements = -0.2 eV per formula unit
E_tot = -2.14 eV/atom
relative energy among the computed polymorphs = 256 meV per atom

***

Entry from Alexandria: Hg7OF12 after structural relaxation (PBE).

Cell and atoms, written as CIF:
```
data_Hg7OF12
_chemical_formula_sum 'Hg21 O3 F36'
_cell_length_a 10.9814
_cell_length_b 10.9814
_cell_length_c 9.4426
_cell_angle_alpha 90.00
_cell_angle_beta 90.00
_cell_angle_gamma 120.00
_space_group_name_H-M_alt 'R -3'
_space_group_IT_number 148
_space_group_name_Hall '-R 3'
loop_
_atom_site_label
_atom_site_fract_x
_atom_site_fract_y
_atom_site_fract_z
Hg1 0.0000 0.0000 0.0000
Hg2 0.0394 0.8340 0.6508
O1 0.0000 0.0000 0.5000
F1 0.0475 0.7673 0.4278
F2 0.0640 0.1905 0.8532
```

Values from the calculation:
E_tot = -2.70 eV/atom
raw formation energy = -1.225 eV per atom

***

Entry from Alexandria: Pu2I2Br after structural relaxation (PBE).

Cell and atoms, written as CIF:
```
data_Pu2I2Br
_chemical_formula_sum 'Pu16 I16 Br8'
_cell_length_a 6.837
_cell_length_b 12.826
_cell_length_c 17.560
_cell_angle_alpha 90.00
_cell_angle_beta 90.00
_cell_angle_gamma 90.00
_space_group_name_H-M_alt 'F d d d'
_space_group_IT_number 70
loop_
_space_group_symop_operation_xyz
'x,y,z'
'-x,-y,-z'
'-x+1/4,-y+1/4,z'
'x+1/4,y+1/4,-z'
'x,-y+1/4,-z+1/4'
'-x,y+1/4,z+1/4'
'-x+1/4,y,-z+1/4'
'x+1/4,-y,z+1/4'
'x,y+1/2,z+1/2'
'-x,-y+1/2,-z+1/2'
'-x+1/4,-y+3/4,z+1/2'
'x+1/4,y+3/4,-z+1/2'
'x,-y+3/4,-z+3/4'
'-x,y+3/4,z+3/4'
'-x+1/4,y+1/2,-z+3/4'
'x+1/4,-y+1/2,z+3/4'
'x+1/2,y,z+1/2'
'-x+1/2,-y,-z+1/2'
'-x+3/4,-y+1/4,z+1/2'
'x+3/4,y+1/4,-z+1/2'
'x+1/2,-y+1/4,-z+3/4'
'-x+1/2,y+1/4,z+3/4'
'-x+3/4,y,-z+3/4'
'x+3/4,-y,z+3/4'
'x+1/2,y+1/2,z'
'-x+1/2,-y+1/2,-z'
'-x+3/4,-y+3/4,z'
'x+3/4,y+3/4,-z'
'x+1/2,-y+3/4,-z+1/4'
'-x+1/2,y+3/4,z+1/4'
'-x+3/4,y+1/2,-z+1/4'
'x+3/4,-y+1/2,z+1/4'
loop_
_atom_site_label
_atom_site_fract_x
_atom_site_fract_y
_atom_site_fract_z
Pu1 0.000 0.000 0.000
I1 0.125 0.303 0.625
Br1 0.125 0.125 0.125
```

Values from the calculation:
E_tot = -7.41 eV/atom
raw formation energy = -0.728 eV per atom

***

Entry from Alexandria: Sr2ReBr after structural relaxation (PBE).

Cell and atoms, written as CIF:
```
data_Sr2ReBr
_chemical_formula_sum 'Sr2 Re1 Br1'
_cell_length_a 3.554
_cell_length_b 5.249
_cell_length_c 6.223
_cell_angle_alpha 90.00
_cell_angle_beta 90.00
_cell_angle_gamma 90.00
_space_group_name_H-M_alt 'P m m m'
_space_group_IT_number 47
loop_
_space_group_symop_operation_xyz
'x,y,z'
'-x,-y,-z'
'-x,-y,z'
'x,y,-z'
'x,-y,-z'
'-x,y,z'
'-x,y,-z'
'x,-y,z'
loop_
_atom_site_label
_atom_site_fract_x
_atom_site_fract_y
_atom_site_fract_z
Sr1 0.000 0.000 0.000
Sr2 0.500 0.500 0.500
Re1 0.000 0.000 0.500
Br1 0.500 0.500 0.000
```

Values from the calculation:
E_tot = -4.13 eV/atom
relative energy among the computed polymorphs = 210 meV per atom
raw formation energy = 0.236 eV per atom